An optimized crystal structure of AlSi2P. Source: Alexandria, functional GGA-PBEsol.

Values from the calculation:
* ΔE_f (raw): 0.174 eV/atom
* energy relative to the lowest polymorph listed for this composition: 0.115 eV/atom
* crystal system: orthorhombic

Unit cell a=3.119 b=4.294 c=8.663 alpha=90.00 beta=90.00 gamma=90.00
Space group Immm (No. 71)
Inequivalent atoms, fractional coordinates:
Al1 0.000 0.000 0.000 (multiplicity 2)
Si1 0.000 0.500 0.220 (multiplicity 4)
P1 0.000 0.000 0.500 (multiplicity 2)


An optimized crystal structure of AlSiP. Source: Alexandria, functional GGA-PBEsol.

Values from the calculation:
* ΔE_f (raw): 0.404 eV/atom
* energy relative to the lowest polymorph listed for this composition: 0.266 eV/atom
* crystal system: hexagonal

Unit cell a=4.3458 b=4.3458 c=2.8032 alpha=90.00 beta=90.00 gamma=120.00
Space group P-6m2 (No. 187)
Inequivalent atoms, fractional coordinates:
Al1 0.0000 0.0000 0.0000 (multiplicity 1)
Si1 0.6667 0.3333 0.0000 (multiplicity 1)
P1 0.3333 0.6667 0.5000 (multiplicity 1)


- Which value of energy relative to the lowest polymorph listed for this composition does entry 1 give?
  0.115 eV/atom